Pr7Tl2Ga2: relaxed, GGA-PBE.

Summary:
The calculation puts the total moment at 0.0 μB/cell. The formation energy from the elements comes out at -93 meV/atom. The value obtained for the energy is -4.115 eV/atom. As for the density of states at the Fermi level: 16.03 states/eV per cell. As for the symmetry: Cmmm (65).

Cell: 6.8193 8.3017 6.8193 Å, 90.00 110.60 90.00°
Sites, in units of the cell vectors:
Pr (0.0000, 0.0000, 0.0000)
Pr (0.0000, 0.3001, 0.4999)
Pr (0.5001, 0.3001, 0.0000)
Pr (0.4999, 0.6999, 0.0000)
Pr (0.5000, 0.7182, 0.5000)
Pr (0.0000, 0.6999, 0.5001)
Pr (0.5000, 0.2818, 0.5000)
Ga (0.1635, 0.5000, 0.1635)
Ga (0.8365, 0.5000, 0.8365)
Tl (0.2983, 0.0000, 0.7017)
Tl (0.7017, 0.0000, 0.2983)